6
Lattice="-0.1938 3.9253 -4.1475 -1.4822 -5.4052 -1.1106 -12.7906 2.8336 3.2796" Properties=species:S:1:pos:R:3 comment="BaAcBi, optimized geometry, DFT PBE" formation_enthalpy_0k_ev_per_atom=-0.32 polymorph_energy_mev_per_atom=186 final_energy_ev_per_cell=-21.76 pbc="T T T"
Ac -5.4070 1.8749 -1.9087
Ac -9.0597 -0.5212 -0.0699
Bi -5.8471 -1.2329 -0.8936
Bi -8.6196 2.5866 -1.0849
Ba -11.8871 3.3105 -0.2471
Ba -2.5796 -1.9568 -1.7314

5
Lattice="5.3736 0.0000 0.0000 0.0000 5.0879 0.0000 0.0000 0.0000 5.3736" Properties=species:S:1:pos:R:3 comment="Zr2InAuBr, optimized geometry, DFT PBE" raw_formation_energy_ev_per_atom=0.4879 final_energy_ev_per_cell=-22.35 pbc="T T T"
Au 0.0000 0.0000 0.0000
Br 2.6868 2.5440 2.6868
Zr 0.0000 0.0000 2.6868
Zr 2.6868 0.0000 0.0000
In 0.0000 2.5440 0.0000

15
Lattice="8.6061 -0.0788 -0.1132 -4.1611 7.5480 0.0975 -4.1611 -2.5289 7.1124" Properties=species:S:1:pos:R:3 comment="Li3Dy4Te8, optimized geometry, DFT PBE" raw_formation_energy_ev_per_atom=-1.1938 final_energy_ev_per_cell=-67.19 pbc="T T T"
Te 2.1863 1.2134 1.7431
Te 0.1419 -0.0313 5.2897
Te -4.1611 -0.0021 5.3534
Te 2.4123 3.6413 5.2307
Te -1.9024 3.7269 5.3536
Te -2.1285 1.2990 1.8660
Te -4.1611 5.0212 1.8564
Te 0.1419 4.9716 1.8069
Dy 4.3030 -0.0394 -0.0566
Dy -2.0806 3.7740 0.0487
Dy 0.0000 0.0000 0.0000
Dy -2.0806 -1.2644 3.5562
Li 2.2225 3.7346 -0.0079
Li 2.2225 -1.3038 3.4996
Li 0.1419 2.4702 3.5483

18
Lattice="5.5555 -0.5612 -2.7947 -1.9131 5.2459 -2.7948 3.3311 4.2841 15.9166" Properties=species:S:1:pos:R:3 comment="Nd6Dy2Tl, optimized geometry, DFT PBE" formation_enthalpy_0k_ev_per_atom=0.03 polymorph_energy_mev_per_atom=11 final_energy_ev_per_cell=-79.82 pbc="T T T"
Nd 4.8391 1.5874 4.7738
Nd 7.0602 3.4927 7.2045
Nd 6.9941 3.4075 11.0808
Nd 2.0113 7.2231 12.7321
Nd 2.1343 7.3814 5.5533
Nd 1.9358 3.7533 5.9197
Nd -0.0207 5.5613 -0.7538
Nd 5.0377 5.2155 4.4073
Nd 2.1473 4.0257 -3.5511
Nd 4.8261 4.9431 13.8781
Nd -0.0868 5.4761 3.1226
Nd 4.9622 1.7457 -2.4051
Dy 2.6865 3.4126 -0.3574
Dy 4.3106 5.5867 7.6010
Dy 2.6628 3.3821 2.7260
Dy 4.2869 5.5562 10.6845
Tl 5.1149 1.5000 1.1843
Tl 1.8586 7.4688 9.1427

3
Lattice="4.5528 0.0000 0.0000 -2.2764 3.9429 0.0000 0.0000 0.0000 4.2033" Properties=species:S:1:pos:R:3 comment="LaSbOs, optimized geometry, DFT PBE" raw_formation_energy_ev_per_atom=-0.2623 final_energy_ev_per_cell=-21.07 pbc="T T T"
Sb 0.0000 2.6286 2.1020
Os 2.2764 1.3143 2.1012
La 0.0000 0.0000 0.0001

4
Lattice="-3.5557 1.7518 -2.1817 -3.7358 1.1180 2.2946 -1.0846 4.3551 0.5730" Properties=species:S:1:pos:R:3 comment="TaTiZnW, optimized geometry, DFT PBE" formation_enthalpy_0k_ev_per_atom=0.00 final_energy_ev_per_cell=-33.99 pbc="T T T"
Ta -6.2821 5.4186 0.5144
Ti -2.0940 1.8062 0.1715
Zn -4.1881 3.6124 0.3430
W 0.0000 0.0000 0.0000

12
Lattice="-4.3710 2.1079 1.2905 -1.9746 -4.5840 0.4936 1.9228 -0.1080 6.6892" Properties=species:S:1:pos:R:3 comment="CaY2ReO8, optimized geometry, DFT PBE" raw_formation_energy_ev_per_atom=-2.4826 final_energy_ev_per_cell=-96.84 pbc="T T T"
O -3.3841 -1.7554 4.5663
O -0.8627 -3.4489 6.0151
O -1.0387 -0.8287 3.9070
O -2.0311 -3.3832 1.9501
O -2.6874 -1.9105 7.9853
O -3.5601 0.8647 2.4582
O -2.3917 0.7991 6.5232
O -1.7354 -0.6737 0.4880
Re 0.0000 0.0000 0.0000
Y -1.7263 -1.3193 5.9241
Y -2.6965 -1.2648 2.5492
Ca 0.9614 -0.0540 3.3446

4
Lattice="-0.6388 -0.8633 -5.6743 -1.5001 -5.2148 -1.9765 -5.2652 -0.8425 -2.2178" Properties=species:S:1:pos:R:3 comment="LaPmYHo, optimized geometry, DFT PBE" formation_enthalpy_0k_ev_per_atom=0.10 final_energy_ev_per_cell=-20.33 pbc="T T T"
Ho -1.8510 -1.7301 -2.4672
La 0.0000 0.0000 0.0000
Y -5.5531 -5.1904 -7.4015
Pm -3.7021 -3.4603 -4.9343

The following N(E_F) values (in states/eV/cell) correspond, in order, to the records above: 5.2, 5.8, 7.5, 22.6, 4.5, 4.6, 6.0, 7.5.